## Th2In5I12 (PBE)

Data for crystalline Th2In5I12 at its relaxed geometry.

abc: 8.752 10.601 11.872
angles: 108.05 90.00 114.38
Atoms (fractional coordinates):
I1 0.504 0.007 0.187
I2 0.398 0.289 0.547
I3 0.088 0.668 0.910
I4 0.000 0.000 0.202
I5 0.581 0.668 0.910
I6 0.419 0.332 0.090
I7 0.109 0.711 0.453
I8 0.602 0.711 0.453
I9 0.000 0.000 0.798
I10 0.496 0.993 0.813
I11 0.912 0.332 0.090
I12 0.891 0.289 0.547
Th1 0.768 0.000 0.000
Th2 0.232 0.000 0.000
In1 0.000 0.000 0.500
In2 0.287 0.575 0.625
In3 0.713 0.425 0.375
In4 0.322 0.645 0.241
In5 0.678 0.355 0.759

Values from the calculation:
Raw formation energy = -14.5 eV/f.u.
Space group = C2/m, No. 12